1.
PBE Ag17As, optimized geometry; E = -2.85 eV/atom; theoretical density = 6739 kg/m3
1.0
5.782 0.000 0.000
-2.891 5.008 0.000
0.000 0.000 32.488
Ag As
34 2
direct
0.834 0.166 0.351
0.334 0.167 0.574
0.333 0.667 0.574
0.501 0.499 0.276
0.998 0.499 0.276
0.667 0.834 0.200
0.833 0.666 0.574
0.166 0.333 0.200
0.166 0.834 0.200
0.834 0.667 0.800
0.834 0.667 0.351
0.667 0.834 0.649
0.500 0.500 0.500
0.500 0.000 0.500
0.333 0.166 0.800
0.834 0.166 0.800
0.666 0.833 0.426
0.166 0.333 0.649
0.000 0.500 0.500
0.501 0.002 0.276
0.667 0.333 0.651
0.002 0.501 0.724
0.499 0.501 0.724
0.333 0.667 0.349
0.499 0.998 0.724
0.000 0.000 0.500
0.333 0.166 0.351
0.167 0.833 0.426
0.167 0.334 0.426
0.833 0.167 0.574
0.166 0.834 0.649
0.000 0.000 0.277
0.000 0.000 0.723
0.667 0.333 0.426
0.667 0.333 0.201
0.333 0.667 0.799



2.
PBE KLa2GdMg3In2, optimized geometry; E = -2.92 eV/atom; total magnetization = 0.0 μB per formula unit; theoretical density = 4616 kg/m3
1.0
-1.965 -2.000 -3.945
4.291 -6.872 1.346
-7.489 1.028 3.210
La In Mg K Gd
2 2 3 1 1
direct
0.000 0.989 0.573
0.000 0.573 0.989
0.500 0.623 0.323
0.500 0.323 0.623
0.500 0.755 0.755
0.500 0.946 0.255
0.500 0.255 0.946
0.000 0.061 0.061
0.000 0.475 0.475



3.
PBE Ba2NbSb, optimized geometry; E = -4.17 eV/atom; total magnetization = 4.0 μB per formula unit; theoretical density = 6629 kg/m3
1.0
5.120 -1.187 1.860
1.310 -5.233 1.412
3.506 -2.950 -3.177
Ba Sb Nb
2 1 1
direct
0.250 0.250 0.250
0.000 0.000 0.000
0.500 0.500 0.500
0.750 0.750 0.750



4.
PBE GeB4Pd, optimized geometry; E = -5.73 eV/atom; theoretical density = 6444 kg/m3
1.0
3.082 0.000 0.000
-1.541 2.669 0.000
0.000 0.000 6.966
B Ge Pd
4 1 1
direct
0.333 0.667 0.750
0.333 0.667 0.250
0.667 0.333 0.750
0.667 0.333 0.250
0.000 0.000 0.000
0.000 0.000 0.500



- E of number 2 (KLa2GdMg3In2)?
  -2.92 eV/atom